YHoMgPb | Alexandria via LeMat-Bulk | PBE-GGA | relaxed; E = -4.365 eV/atom; total magnetization = 0.00 μB/atom; energy relative to the elements = -279 meV/atom
1.0
-2.699 4.616 0.341
-1.422 1.924 4.795
2.405 4.372 1.953
Ho Pb Y Mg
1 1 1 1
Cartesian
-0.429 2.728 1.772
-0.858 5.456 3.545
-1.287 8.184 5.317
0.000 0.000 0.000